No. 1
{"formula": "ThCd2Ag2", "functional": "PBE", "state": "optimized geometry", "lattice_angstrom": [[2.9704, -6.8527, 0.0000], [2.9704, 6.8527, 0.0000], [-1.9526, 0.0000, 2.7959]], "species": ["Th", "Cd", "Cd", "Ag", "Ag"], "fractional_positions": [[0.0000, 0.0000, 0.0000], [0.2202, 0.7798, 0.5000], [0.7798, 0.2202, 0.5000], [0.3969, 0.6031, 0.0000], [0.6031, 0.3969, 0.0000]], "de_polymorph_ev_per_atom": 0.000, "sg": "C2/m (12)"}

=====

No. 2
{"formula": "Th2Cd3Ag", "functional": "PBE", "state": "optimized geometry", "lattice_angstrom": [[-1.6974, 2.5603, 9.0040], [1.6974, -2.5603, 9.0040], [1.6974, 2.5603, -9.0040]], "species": ["Th", "Th", "Cd", "Cd", "Cd", "Ag"], "fractional_positions": [[0.0000, 0.0000, 0.0000], [0.7624, 0.2624, 0.5000], [0.1688, 0.6688, 0.5000], [0.3287, 0.8287, 0.5000], [0.5977, 0.5977, 0.0000], [0.4454, 0.4454, 0.0000]], "de_polymorph_ev_per_atom": 0.133, "sg": "Imm2 (44)"}

=====

No. 3
{"formula": "ThCd12Ag6", "functional": "PBE", "state": "optimized geometry", "lattice_angstrom": [[6.2774, 3.6243, 3.1537], [-6.2774, 3.6243, 3.1537], [0.0000, -7.2485, 3.1537]], "species": ["Th", "Cd", "Cd", "Cd", "Cd", "Cd", "Cd", "Cd", "Cd", "Cd", "Cd", "Cd", "Cd", "Ag", "Ag", "Ag", "Ag", "Ag", "Ag"], "fractional_positions": [[0.0000, 0.0000, 0.0000], [0.1124, 0.5000, 0.8876], [0.1124, 0.8876, 0.5000], [0.1317, 0.3794, 0.3794], [0.3794, 0.1317, 0.3794], [0.3794, 0.3794, 0.1317], [0.5000, 0.1124, 0.8876], [0.5000, 0.8876, 0.1124], [0.6206, 0.6206, 0.8683], [0.6206, 0.8683, 0.6206], [0.8683, 0.6206, 0.6206], [0.8876, 0.1124, 0.5000], [0.8876, 0.5000, 0.1124], [0.2927, 0.7063, 0.7063], [0.2937, 0.2937, 0.7073], [0.2937, 0.7073, 0.2937], [0.7063, 0.2927, 0.7063], [0.7063, 0.7063, 0.2927], [0.7073, 0.2937, 0.2937]], "sg": "R-3m (166)"}

=====

No. 4
{"formula": "ThCd8Ag4", "functional": "PBE", "state": "optimized geometry", "lattice_angstrom": [[-4.9937, 4.9937, 2.7936], [4.9937, -4.9937, 2.7936], [4.9937, 4.9937, -2.7936]], "species": ["Th", "Cd", "Cd", "Cd", "Cd", "Cd", "Cd", "Cd", "Cd", "Ag", "Ag", "Ag", "Ag"], "fractional_positions": [[0.0000, 0.0000, 0.0000], [0.0000, 0.3466, 0.3466], [0.0000, 0.6534, 0.6534], [0.2866, 0.5000, 0.7866], [0.3466, 0.0000, 0.3466], [0.5000, 0.2866, 0.7866], [0.5000, 0.7134, 0.2134], [0.6534, 0.0000, 0.6534], [0.7134, 0.5000, 0.2134], [0.0000, 0.0000, 0.5000], [0.0000, 0.5000, 0.0000], [0.5000, 0.0000, 0.0000], [0.5000, 0.5000, 0.5000]], "sg": "I4/mmm (139)"}

=====

| no. | total energy (eV/atom) | energy of formation from the pure elements (kJ/mol of atoms) | D(E_F) (states/eV per atom) |
| --- | --- | --- | --- |
| 1 | -3.100 | -10.6 | 0.702 |
| 2 | -3.449 | -4.2 | 0.710 |
| 3 | -1.831 | 3.7 | 0.247 |
| 4 | -2.102 | -8.8 | 0.363 |